Entry 1:
{
  "formula": "Sm2NiRu3",
  "functional": "PBE",
  "state": "optimized geometry",
  "cell": [[4.689, -0.138, -2.456], [-2.983, 4.369, -0.231], [-0.173, 0.168, 5.371]],
  "species": ["Sm", "Sm", "Ni", "Ru", "Ru", "Ru"],
  "fractional_positions": [[0.755, 0.377, 0.132], [0.245, 0.623, 0.868], [0.000, 0.000, 0.000], [0.500, 0.500, 0.500], [0.000, 0.000, 0.500], [0.500, 0.000, 0.500]],
  "e_tot_ev_per_cell": -44.7,
  "ef_kj_per_mol_atoms": -26.3
}

Entry 2:
{
  "formula": "Sm2NiRu",
  "functional": "PBE",
  "state": "optimized geometry",
  "cell": [[-2.016, 3.030, -1.814], [3.074, -0.809, -4.767], [-6.672, -4.520, -0.138]],
  "species": ["Sm", "Sm", "Sm", "Sm", "Ni", "Ni", "Ru", "Ru"],
  "fractional_positions": [[0.750, 0.213, 0.432], [0.250, 0.787, 0.568], [0.250, 0.787, 0.076], [0.750, 0.213, 0.924], [0.250, 0.358, 0.213], [0.750, 0.642, 0.787], [0.750, 0.632, 0.280], [0.250, 0.368, 0.720]],
  "e_tot_ev_per_cell": -51.4,
  "ef_kj_per_mol_atoms": -29.0
}

Entry 3:
{
  "formula": "Sm2NiRu",
  "functional": "PBE",
  "state": "optimized geometry",
  "cell": [[-0.939, -1.002, -4.705], [-3.829, -2.819, -1.189], [-3.912, 1.977, -2.193]],
  "species": ["Ru", "Sm", "Sm", "Ni"],
  "fractional_positions": [[0.750, 0.750, 0.750], [0.000, 0.000, 0.000], [0.500, 0.500, 0.500], [0.250, 0.250, 0.250]],
  "e_tot_ev_per_cell": -25.5,
  "ef_kj_per_mol_atoms": -24.1
}

Entry 4:
{
  "formula": "Sm2Ni2Ru",
  "functional": "PBE",
  "state": "optimized geometry",
  "cell": [[-2.263, -1.912, 4.261], [2.948, -0.332, 4.258], [-2.073, 6.844, 3.884]],
  "species": ["Sm", "Sm", "Sm", "Sm", "Ni", "Ni", "Ni", "Ni", "Ru", "Ru"],
  "fractional_positions": [[0.469, 0.225, 0.155], [0.775, 0.531, 0.345], [0.531, 0.775, 0.845], [0.225, 0.469, 0.655], [0.756, 0.998, 0.499], [0.002, 0.244, 0.001], [0.244, 0.002, 0.501], [0.998, 0.756, 0.999], [0.139, 0.861, 0.250], [0.861, 0.139, 0.750]],
  "e_tot_ev_per_cell": -63.4,
  "ef_kj_per_mol_atoms": -27.8
}

Entry 5:
{
  "formula": "Sm2Zn3Ni12Ru",
  "functional": "PBE",
  "state": "optimized geometry",
  "cell": [[9.195, 1.916, 1.359], [6.207, 7.049, 1.359], [6.207, 3.613, 6.204]],
  "species": ["Sm", "Sm", "Zn", "Zn", "Zn", "Ni", "Ni", "Ni", "Ni", "Ni", "Ni", "Ni", "Ni", "Ni", "Ni", "Ni", "Ni", "Ru"],
  "fractional_positions": [[0.649, 0.649, 0.649], [0.351, 0.351, 0.351], [0.500, 0.000, 0.000], [0.000, 0.500, 0.000], [0.000, 0.000, 0.500], [0.419, 0.419, 0.812], [0.926, 0.926, 0.360], [0.360, 0.926, 0.926], [0.812, 0.419, 0.419], [0.926, 0.360, 0.926], [0.419, 0.812, 0.419], [0.581, 0.581, 0.188], [0.074, 0.074, 0.640], [0.640, 0.074, 0.074], [0.188, 0.581, 0.581], [0.074, 0.640, 0.074], [0.581, 0.188, 0.581], [0.000, 0.000, 0.000]],
  "e_tot_ev_per_cell": -89.4,
  "ef_kj_per_mol_atoms": 13.4
}

Entry 6:
{
  "formula": "SmZrNiRu",
  "functional": "PBE",
  "state": "optimized geometry",
  "cell": [[4.748, 0.000, 0.000], [2.374, 4.112, 0.000], [2.374, 1.371, 3.877]],
  "species": ["Ru", "Zr", "Sm", "Ni"],
  "fractional_positions": [[0.500, 0.500, 0.500], [0.750, 0.750, 0.750], [0.250, 0.250, 0.250], [0.000, 0.000, 0.000]],
  "e_tot_ev_per_cell": -29.5,
  "ef_kj_per_mol_atoms": -28.1
}

Entry 7:
{
  "formula": "Ni2SnRu2",
  "functional": "PBE",
  "state": "optimized geometry",
  "cell": [[-0.011, -3.206, -6.073], [6.790, 0.905, -0.490], [0.463, -2.700, 1.425]],
  "species": ["Ru", "Ru", "Ru", "Ru", "Sn", "Sn", "Ni", "Ni", "Ni", "Ni"],
  "fractional_positions": [[0.371, 0.871, 0.000], [0.871, 0.629, 0.000], [0.629, 0.129, 0.000], [0.129, 0.371, 0.000], [0.000, 0.000, 0.000], [0.500, 0.500, 0.000], [0.165, 0.665, 0.500], [0.665, 0.835, 0.500], [0.835, 0.335, 0.500], [0.335, 0.165, 0.500]],
  "e_tot_ev_per_cell": -65.3,
  "ef_kj_per_mol_atoms": 28.2
}

Entry 8:
{
  "formula": "Ni4SnRu",
  "functional": "PBE",
  "state": "optimized geometry",
  "cell": [[-4.386, -1.904, -0.056], [-1.543, -2.561, 3.733], [-3.406, 1.757, 2.860]],
  "species": ["Ru", "Sn", "Ni", "Ni", "Ni", "Ni"],
  "fractional_positions": [[0.250, 0.250, 0.250], [0.000, 0.000, 0.000], [0.624, 0.624, 0.127], [0.624, 0.127, 0.624], [0.624, 0.624, 0.624], [0.127, 0.624, 0.624]],
  "e_tot_ev_per_cell": -35.9,
  "ef_kj_per_mol_atoms": 7.6
}

Entry 9:
{
  "formula": "Ni3SnRu",
  "functional": "PBE",
  "state": "optimized geometry",
  "cell": [[4.483, 0.000, 0.000], [0.000, 4.483, 0.000], [0.000, 0.000, 4.483]],
  "species": ["Ru", "Sn", "Ni", "Ni", "Ni"],
  "fractional_positions": [[0.000, 0.000, 0.000], [0.500, 0.500, 0.500], [0.000, 0.500, 0.000], [0.000, 0.000, 0.500], [0.500, 0.000, 0.000]],
  "e_tot_ev_per_cell": -25.4,
  "ef_kj_per_mol_atoms": 101.1,
  "relative_energy_mev_per_atom": 0.0
}

Entry 10:
{
  "formula": "NiSn3Ru",
  "functional": "PBE",
  "state": "optimized geometry",
  "cell": [[5.025, 0.000, 0.000], [0.000, 5.025, 0.000], [0.000, 0.000, 5.025]],
  "species": ["Ru", "Sn", "Sn", "Sn", "Ni"],
  "fractional_positions": [[0.000, 0.000, 0.000], [0.000, 0.500, 0.000], [0.000, 0.000, 0.500], [0.500, 0.000, 0.000], [0.500, 0.500, 0.500]],
  "e_tot_ev_per_cell": -24.4,
  "ef_kj_per_mol_atoms": 52.1,
  "relative_energy_mev_per_atom": 0.0
}

Entry 11:
{
  "formula": "Ni2SnRu",
  "functional": "PBE",
  "state": "optimized geometry",
  "cell": [[-2.233, 0.286, 2.920], [-2.928, -0.465, -2.193], [-2.109, -8.753, 1.571]],
  "species": ["Ru", "Ru", "Sn", "Sn", "Ni", "Ni", "Ni", "Ni"],
  "fractional_positions": [[0.500, 0.500, 0.000], [0.250, 0.750, 0.500], [0.000, 0.000, 0.000], [0.750, 0.250, 0.500], [0.601, 0.125, 0.250], [0.149, 0.625, 0.250], [0.375, 0.399, 0.750], [0.875, 0.851, 0.750]],
  "e_tot_ev_per_cell": -46.3,
  "ef_kj_per_mol_atoms": 41.2
}

Entry 12:
{
  "formula": "Ni2SnRu",
  "functional": "PBE",
  "state": "optimized geometry",
  "cell": [[-1.776, -1.557, -3.031], [-0.165, -3.347, 1.816], [-3.376, 0.969, 1.480]],
  "species": ["Ru", "Sn", "Ni", "Ni"],
  "fractional_positions": [[0.500, 0.000, 0.000], [0.500, 0.500, 0.500], [0.000, 0.000, 0.500], [0.000, 0.500, 0.000]],
  "e_tot_ev_per_cell": -24.9,
  "ef_kj_per_mol_atoms": -1.1
}